1.
# K3Zn4Au2 | Alexandria | PBE-GGA | optimized geometry
# ΔE to the lowest computed polymorph: 43 meV/atom
# Total DFT energy (no corrections): -16.1 eV/f.u.
# Crystal system: monoclinic
# Magnetic moment: 0.00 μB per cell
# E_form: -0.13 eV/atom
data_K3Zn4Au2
_chemical_formula_sum 'K6 Zn8 Au4'
_cell_length_a 12.6041
_cell_length_b 4.2799
_cell_length_c 10.1786
_cell_angle_alpha 90.00
_cell_angle_beta 111.03
_cell_angle_gamma 90.00
_symmetry_space_group_name_H-M 'C 1 2/m 1'
_symmetry_Int_Tables_number 12
loop_
_symmetry_equiv_pos_as_xyz
'x,y,z'
'-x,-y,-z'
'-x,y,-z'
'x,-y,z'
'x+1/2,y+1/2,z'
'-x+1/2,-y+1/2,-z'
'-x+1/2,y+1/2,-z'
'x+1/2,-y+1/2,z'
loop_
_atom_site_label
_atom_site_fract_x
_atom_site_fract_y
_atom_site_fract_z
K1 0.0000 0.0000 0.0000
K2 0.0897 0.5000 0.6888
Zn1 0.1796 0.0000 0.4354
Zn2 0.2301 0.5000 0.0596
Au1 0.1849 0.5000 0.2877


2.
# K6ZnAu | Alexandria | PBE-GGA | optimized geometry
# Total DFT energy (no corrections): -11.7 eV/f.u.
# Crystal system: orthorhombic
# Magnetic moment: 0.00 μB per cell
# E_form: -0.07 eV/atom
data_K6ZnAu
_chemical_formula_sum 'K12 Zn2 Au2'
_cell_length_a 4.6051
_cell_length_b 13.3839
_cell_length_c 14.3035
_cell_angle_alpha 90.00
_cell_angle_beta 90.00
_cell_angle_gamma 90.00
_symmetry_space_group_name_H-M 'A m m 2'
_symmetry_Int_Tables_number 38
loop_
_symmetry_equiv_pos_as_xyz
'x,y,z'
'-x,-y,z'
'-x,y,z'
'x,-y,z'
'x,y+1/2,z+1/2'
'-x,-y+1/2,z+1/2'
'-x,y+1/2,z+1/2'
'x,-y+1/2,z+1/2'
loop_
_atom_site_label
_atom_site_fract_x
_atom_site_fract_y
_atom_site_fract_z
K1 0.0000 0.0000 0.0000
K2 0.0000 0.1479 0.6972
K3 0.5000 0.0000 0.2735
K4 0.5000 0.2196 0.4566
Zn1 0.0000 0.0000 0.4828
Au1 0.5000 0.0000 0.5649


3.
# K2Zn2Au3 | Alexandria | PBE-GGA | optimized geometry
# ΔE to the lowest computed polymorph: 0 meV/atom
# Total DFT energy (no corrections): -16.4 eV/f.u.
# Crystal system: monoclinic
# Magnetic moment: 0.00 μB per cell
# E_form: -0.26 eV/atom
data_K2Zn2Au3
_chemical_formula_sum 'K4 Zn4 Au6'
_cell_length_a 13.8048
_cell_length_b 4.5349
_cell_length_c 6.3408
_cell_angle_alpha 90.00
_cell_angle_beta 104.95
_cell_angle_gamma 90.00
_symmetry_space_group_name_H-M 'C 1 2/m 1'
_symmetry_Int_Tables_number 12
loop_
_symmetry_equiv_pos_as_xyz
'x,y,z'
'-x,-y,-z'
'-x,y,-z'
'x,-y,z'
'x+1/2,y+1/2,z'
'-x+1/2,-y+1/2,-z'
'-x+1/2,y+1/2,-z'
'x+1/2,-y+1/2,z'
loop_
_atom_site_label
_atom_site_fract_x
_atom_site_fract_y
_atom_site_fract_z
K1 0.1365 0.0000 0.0494
Zn1 0.1057 0.5000 0.5218
Au1 0.0000 0.0000 0.5000
Au2 0.2110 0.0000 0.5803


4.
# K3Zn5Au6 | Alexandria | PBE-GGA | optimized geometry
# Total DFT energy (no corrections): -32.1 eV/f.u.
# Crystal system: orthorhombic
# Magnetic moment: 0.00 μB per cell
# E_form: -0.20 eV/atom
data_K3Zn5Au6
_chemical_formula_sum 'K6 Zn10 Au12'
_cell_length_a 4.5171
_cell_length_b 13.5510
_cell_length_c 10.7699
_cell_angle_alpha 90.00
_cell_angle_beta 90.00
_cell_angle_gamma 90.00
_symmetry_space_group_name_H-M 'P m m n'
_symmetry_Int_Tables_number 59
loop_
_symmetry_equiv_pos_as_xyz
'x,y,z'
'-x,-y,-z'
'-x+1/2,-y+1/2,z'
'x+1/2,y+1/2,-z'
'x+1/2,-y,-z'
'-x+1/2,y,z'
'-x,y+1/2,-z'
'x,-y+1/2,z'
loop_
_atom_site_label
_atom_site_fract_x
_atom_site_fract_y
_atom_site_fract_z
K1 0.2500 0.0973 0.2501
K2 0.2500 0.7500 0.2445
Zn1 0.2500 0.0783 0.6497
Zn2 0.2500 0.6237 0.9899
Zn3 0.2500 0.7500 0.5867
Au1 0.2500 0.0584 0.8922
Au2 0.2500 0.2500 0.5264
Au3 0.2500 0.2500 0.9994
Au4 0.2500 0.5726 0.4874


5.
# K3Zn2Au4 | Alexandria | PBE-GGA | optimized geometry
# ΔE to the lowest computed polymorph: 0 meV/atom
# Total DFT energy (no corrections): -21.4 eV/f.u.
# Crystal system: monoclinic
# Magnetic moment: 0.00 μB per cell
# E_form: -0.27 eV/atom
data_K3Zn2Au4
_chemical_formula_sum 'K6 Zn4 Au8'
_cell_length_a 12.1146
_cell_length_b 4.5884
_cell_length_c 9.3148
_cell_angle_alpha 90.00
_cell_angle_beta 106.08
_cell_angle_gamma 90.00
_symmetry_space_group_name_H-M 'C 1 2/m 1'
_symmetry_Int_Tables_number 12
loop_
_symmetry_equiv_pos_as_xyz
'x,y,z'
'-x,-y,-z'
'-x,y,-z'
'x,-y,z'
'x+1/2,y+1/2,z'
'-x+1/2,-y+1/2,-z'
'-x+1/2,y+1/2,-z'
'x+1/2,-y+1/2,z'
loop_
_atom_site_label
_atom_site_fract_x
_atom_site_fract_y
_atom_site_fract_z
K1 0.0000 0.0000 0.0000
K2 0.1262 0.5000 0.3794
Zn1 0.1727 0.5000 0.7834
Au1 0.0865 0.0000 0.6335
Au2 0.2440 0.5000 0.0880


6.
# K6ZnAu2 | Alexandria | PBE-GGA | optimized geometry
# Total DFT energy (no corrections): -15.3 eV/f.u.
# Crystal system: trigonal
# Magnetic moment: 0.00 μB per cell
# E_form: -0.10 eV/atom
data_K6ZnAu2
_chemical_formula_sum 'K18 Zn3 Au6'
_cell_length_a 6.0449
_cell_length_b 6.0449
_cell_length_c 33.6297
_cell_angle_alpha 90.00
_cell_angle_beta 90.00
_cell_angle_gamma 120.00
_symmetry_space_group_name_H-M 'R -3 m'
_symmetry_Int_Tables_number 166
_symmetry_space_group_name_Hall '-R 3 2"'
loop_
_atom_site_label
_atom_site_fract_x
_atom_site_fract_y
_atom_site_fract_z
K1 0.0000 0.0000 0.0787
K2 0.0000 0.0000 0.2012
K3 0.0000 0.0000 0.3155
Zn1 0.0000 0.0000 0.5000
Au1 0.0000 0.0000 0.4216